No. 1
Below is a relaxed Y2MnCoC crystal, with properties calculated at the PBE level.

Cell lengths 4.931, 4.931, 3.717 Å; angles 90.00, 90.00, 90.00 degrees
Fractional positions:
Mn  0.000  0.000  0.500
Y  0.500  0.000  0.000
Y  0.000  0.500  0.000
Co  0.500  0.500  0.500
C  0.000  0.000  0.000

Properties
Total magnetic moment: 0.55 μB/atom
Energy of formation: -0.081 eV per atom
Energy above the lowest structure with this stoichiometry: 0.006 eV per atom



No. 2
Below is a relaxed MnZnCo2C crystal, with properties calculated at the PBE level.

Cell lengths 3.765, 3.765, 3.814 Å; angles 90.00, 90.00, 90.00 degrees
Fractional positions:
Zn  0.500  0.500  0.500
Mn  0.000  0.000  0.500
C  0.000  0.000  0.000
Co  0.000  0.500  0.000
Co  0.500  0.000  0.000

Properties
Total magnetic moment: 0.65 μB/atom
Energy of formation: -0.023 eV per atom



No. 3
Below is a relaxed Mn2Zn2Co4C crystal, with properties calculated at the PBE level.

Cell lengths 5.173, 5.173, 5.173 Å; angles 94.30, 117.55, 117.55 degrees
Fractional positions:
Mn  0.000  0.277  0.277
Mn  0.000  0.723  0.723
Co  0.000  0.749  0.251
Co  0.503  0.251  0.251
Co  0.497  0.749  0.749
Co  0.000  0.251  0.749
C  0.000  0.000  0.000
Zn  0.500  0.750  0.250
Zn  0.500  0.250  0.750

Properties
Total magnetic moment: 1.01 μB/atom
Energy of formation: -0.022 eV per atom



No. 4
Below is a relaxed Mn2ZnCoC crystal, with properties calculated at the PBE level.

Cell lengths 3.860, 3.860, 3.761 Å; angles 90.00, 90.00, 90.00 degrees
Fractional positions:
Co  0.000  0.000  0.500
Mn  0.000  0.500  0.000
Mn  0.500  0.000  0.000
Zn  0.500  0.500  0.500
C  0.000  0.000  0.000

Properties
Total magnetic moment: 1.02 μB/atom
Energy of formation: -0.021 eV per atom



Number 1: volume 90.37 Å³/cell. Number 2: volume 54.08 Å³/cell. Number 3: volume 101.19 Å³/cell. Number 4: volume 56.04 Å³/cell.